Record 1
First-principles (PBE) data for a relaxed DyHoH2Br4 crystal, as listed in OQMD via LeMat-Bulk.

Cell lengths 3.8198, 3.8198, 14.7832 Å; angles 90.00, 90.00, 120.00 degrees
Space group P-6m2 (No. 187)
Symmetry-distinct sites (fractional):
Dy 0.0000 0.0000 0.0000 [1 per cell]
Ho 0.0000 0.0000 0.5000 [1 per cell]
H 0.3333 0.6667 0.5000 [1 per cell]
H 0.6667 0.3333 0.0000 [1 per cell]
Br 0.3333 0.6667 0.1295 [2 per cell]
Br 0.6667 0.3333 0.3711 [2 per cell]

Output
Crystal system = hexagonal
Electronic total energy = -34.738 eV per cell

=====

Record 2
First-principles (PBE) data for a relaxed Dy2H2IBr3 crystal, as listed in OQMD via LeMat-Bulk.

Cell lengths 3.8708, 3.8708, 15.2088 Å; angles 90.00, 90.00, 120.00 degrees
Space group P3m1 (No. 156)
Symmetry-distinct sites (fractional):
Dy 0.0000 0.0000 0.0000 [1 per cell]
Dy 0.0000 0.0000 0.4943 [1 per cell]
H 0.3333 0.6667 0.9995 [1 per cell]
H 0.6667 0.3333 0.4976 [1 per cell]
I 0.3333 0.6667 0.6356 [1 per cell]
Br 0.3333 0.6667 0.3695 [1 per cell]
Br 0.6667 0.3333 0.1243 [1 per cell]
Br 0.6667 0.3333 0.8749 [1 per cell]

Output
Crystal system = trigonal
Electronic total energy = -33.964 eV per cell

=====

Record 3
First-principles (PBE) data for a relaxed Dy2H2IBrO2 crystal, as listed in OQMD via LeMat-Bulk.

Cell lengths 3.9615, 3.9615, 10.5773 Å; angles 90.00, 90.00, 120.00 degrees
Space group P3m1 (No. 156)
Symmetry-distinct sites (fractional):
Dy 0.0000 0.0000 0.0000 [1 per cell]
Dy 0.3333 0.6667 0.4843 [1 per cell]
H 0.6667 0.3333 0.3299 [1 per cell]
H 0.6667 0.3333 0.8560 [1 per cell]
I 0.0000 0.0000 0.6882 [1 per cell]
Br 0.3333 0.6667 0.1867 [1 per cell]
O 0.6667 0.3333 0.4224 [1 per cell]
O 0.6667 0.3333 0.9490 [1 per cell]

Output
Crystal system = trigonal
Electronic total energy = -41.056 eV per cell

=====

Record 4
First-principles (PBE) data for a relaxed NdDyH2Br4 crystal, as listed in OQMD via LeMat-Bulk.

Cell lengths 3.9162, 3.9162, 14.8728 Å; angles 90.00, 90.00, 120.00 degrees
Space group P-6m2 (No. 187)
Symmetry-distinct sites (fractional):
Nd 0.0000 0.0000 0.0000 [1 per cell]
Dy 0.0000 0.0000 0.5000 [1 per cell]
H 0.3333 0.6667 0.5000 [1 per cell]
H 0.6667 0.3333 0.0000 [1 per cell]
Br 0.3333 0.6667 0.1329 [2 per cell]
Br 0.6667 0.3333 0.3733 [2 per cell]

Output
Crystal system = hexagonal
Electronic total energy = -34.951 eV per cell

=====

Record 5
First-principles (PBE) data for a relaxed DyH2BrO2 crystal, as listed in OQMD via LeMat-Bulk.

Cell lengths 6.149, 3.678, 6.781 Å; angles 90.00, 107.94, 90.00 degrees
Space group P2_1/m (No. 11)
Symmetry-distinct sites (fractional):
Dy 0.210 0.250 0.389 [2 per cell]
H 0.156 0.250 0.800 [2 per cell]
H 0.381 0.750 0.725 [2 per cell]
Br 0.272 0.750 0.062 [2 per cell]
O 0.053 0.250 0.658 [2 per cell]
O 0.396 0.750 0.585 [2 per cell]

Output
Crystal system = monoclinic
Electronic total energy = -69.766 eV per cell

=====

Record 6
First-principles (PBE) data for a relaxed DyScH2Br4 crystal, as listed in OQMD via LeMat-Bulk.

Cell lengths 3.7240, 3.7240, 14.6326 Å; angles 90.00, 90.00, 120.00 degrees
Space group P-6m2 (No. 187)
Symmetry-distinct sites (fractional):
Dy 0.0000 0.0000 0.0000 [1 per cell]
Sc 0.0000 0.0000 0.5000 [1 per cell]
H 0.3333 0.6667 0.5000 [1 per cell]
H 0.6667 0.3333 0.0000 [1 per cell]
Br 0.3333 0.6667 0.1330 [2 per cell]
Br 0.6667 0.3333 0.3764 [2 per cell]

Output
Crystal system = hexagonal
Electronic total energy = -35.581 eV per cell

=====

Record 7
First-principles (PBE) data for a relaxed DyTmH2Br2 crystal, as listed in OQMD via LeMat-Bulk.

Cell lengths 6.542, 3.777, 10.235 Å; angles 90.00, 101.94, 90.00 degrees
Space group Cm (No. 8)
Symmetry-distinct sites (fractional):
Dy 0.000 0.000 0.000 [2 per cell]
Tm 0.253 0.500 0.267 [2 per cell]
H 0.071 0.000 0.220 [2 per cell]
H 0.183 0.500 0.051 [2 per cell]
Br 0.273 0.000 0.812 [2 per cell]
Br 0.479 0.000 0.451 [2 per cell]

Output
Crystal system = monoclinic
Electronic total energy = -53.105 eV per cell

=====

Record 8
First-principles (PBE) data for a relaxed DyTmH2Br4 crystal, as listed in OQMD via LeMat-Bulk.

Cell lengths 3.7995, 3.7995, 14.7605 Å; angles 90.00, 90.00, 120.00 degrees
Space group P-6m2 (No. 187)
Symmetry-distinct sites (fractional):
Dy 0.0000 0.0000 0.0000 [1 per cell]
Tm 0.0000 0.0000 0.5000 [1 per cell]
H 0.3333 0.6667 0.5000 [1 per cell]
H 0.6667 0.3333 0.0000 [1 per cell]
Br 0.3333 0.6667 0.1300 [2 per cell]
Br 0.6667 0.3333 0.3718 [2 per cell]

Output
Crystal system = hexagonal
Electronic total energy = -34.547 eV per cell

=====

The highest electronic total energy belongs to which entry? Dy2H2IBr3

=====

Look up the electronic total energy of the fifth one. -69.766 eV per cell